Run one
Compound: Cu3SnAu
Source: the Alexandria database
Functional: GGA-PBE
Structure: relaxed Values from VASP.

```
&SYSTEM
  ibrav = 0, nat = 20, ntyp = 3
/
ATOMIC_SPECIES
Cu 63.55 Cu.upf
Sn 118.71 Sn.upf
Au 196.97 Au.upf
CELL_PARAMETERS angstrom
7.106 0.000 0.000
0.000 6.960 0.000
-4.006 0.000 6.404
ATOMIC_POSITIONS crystal
Cu 0.066 0.170 0.073
Cu 0.066 0.330 0.573
Cu 0.155 0.612 0.825
Cu 0.155 0.888 0.325
Cu 0.337 0.593 0.608
Cu 0.337 0.907 0.108
Cu 0.663 0.093 0.892
Cu 0.663 0.407 0.392
Cu 0.845 0.112 0.675
Cu 0.845 0.388 0.175
Cu 0.934 0.670 0.427
Cu 0.934 0.830 0.927
Sn 0.381 0.220 0.487
Sn 0.381 0.280 0.987
Sn 0.619 0.720 0.013
Sn 0.619 0.780 0.513
Au 0.216 0.546 0.201
Au 0.216 0.954 0.701
Au 0.784 0.046 0.299
Au 0.784 0.454 0.799
```

---

Run two
Compound: Cu3SnAu
Source: the Alexandria database
Functional: GGA-PBE
Structure: relaxed Values from VASP.

```
&SYSTEM
  ibrav = 0, nat = 5, ntyp = 3
/
ATOMIC_SPECIES
Cu 63.55 Cu.upf
Sn 118.71 Sn.upf
Au 196.97 Au.upf
CELL_PARAMETERS angstrom
4.800 0.000 0.000
0.000 4.800 0.000
0.000 0.000 4.800
ATOMIC_POSITIONS crystal
Cu 0.000 0.000 0.500
Cu 0.000 0.500 0.000
Cu 0.500 0.000 0.000
Sn 0.000 0.000 0.000
Au 0.500 0.500 0.500
```

---

Relative energies, in meV per atom, with the most stable structure set to zero: run one 0; run two 848.